No. 1
! PBE ZnSbBr2, relaxed; values from VASP
&SYSTEM
  ibrav = 0, nat = 4, ntyp = 3
/
ATOMIC_SPECIES
Zn 65.41 Zn.upf
Sb 121.76 Sb.upf
Br 79.90 Br.upf
CELL_PARAMETERS angstrom
2.054 0.000 13.010
-1.027 1.779 13.010
-1.027 -1.779 13.010
ATOMIC_POSITIONS crystal
Zn 0.500 0.500 0.500
Sb 0.000 0.000 0.000
Br 0.126 0.126 0.126
Br 0.874 0.874 0.874
! - raw total energy (eV/atom) = -2.46
! - calculated density (Mg/m³) = 4.039
! - formation energy without anion corrections (meV/atom) = -273



No. 2
! PBE ZnSbBr2, relaxed; values from VASP
&SYSTEM
  ibrav = 0, nat = 4, ntyp = 3
/
ATOMIC_SPECIES
Br 79.90 Br.upf
Zn 65.41 Zn.upf
Sb 121.76 Sb.upf
CELL_PARAMETERS angstrom
3.300 0.000 0.000
0.000 3.300 0.000
0.000 0.000 11.108
ATOMIC_POSITIONS crystal
Br 0.000 0.000 0.897
Br 0.000 0.000 0.603
Zn 0.500 0.500 0.750
Sb 0.500 0.500 0.250
! - raw total energy (eV/atom) = -2.14
! - calculated density (Mg/m³) = 4.763
! - formation energy without anion corrections (meV/atom) = 44



No. 3
! PBE Zn4SbBr, relaxed; values from VASP
&SYSTEM
  ibrav = 0, nat = 6, ntyp = 3
/
ATOMIC_SPECIES
Br 79.90 Br.upf
Zn 65.41 Zn.upf
Sb 121.76 Sb.upf
CELL_PARAMETERS angstrom
0.282 -3.641 4.162
-4.619 -1.584 2.610
-1.942 -5.140 -0.682
ATOMIC_POSITIONS crystal
Br 0.750 0.750 0.750
Zn 0.874 0.375 0.375
Zn 0.375 0.375 0.375
Zn 0.375 0.375 0.874
Zn 0.375 0.874 0.375
Sb 0.000 0.000 0.000
! - raw total energy (eV/atom) = -1.68
! - calculated density (Mg/m³) = 6.409
! - formation energy without anion corrections (meV/atom) = 134